DFT (PBE with a Hubbard U) results for SrNi2AsF after structural relaxation.

Output
Electronic total energy ... -2.485 eV/atom
Symmetry ... P4/mmm, No. 123
Crystal system ... tetragonal
Theoretical density ... 4.010 g/cm³
DOS at the Fermi energy ... 1.3 states/eV per cell
Size of the total moment ... 1.89 μB/cell

POSCAR file:
```
SrNi2AsF
1.0
5.3786 0.0000 0.0000
0.0000 5.3786 0.0000
0.0000 0.0000 4.2786
Sr Ni As F
1 2 1 1
Direct
0.0000 0.0000 0.0000
0.0000 0.5000 0.0000
0.5000 0.0000 0.0000
0.5000 0.5000 0.5000
0.0000 0.0000 0.5000
```